[1]
{"formula": "FeTcOs", "functional": "PBE", "state": "optimized geometry", "relative_energy_mev_per_atom": 35.5, "total_magnetization_mub_per_fu": 0.01, "spacegroup": "C2, No. 5", "ef_ev_per_atom": 0.03, "lattice_angstrom": [[-4.3351, -0.7777, -2.5058], [-1.2167, -3.2409, 3.1108], [0.6576, 5.3912, 5.8740]], "species": ["Os", "Os", "Os", "Os", "Tc", "Tc", "Tc", "Tc", "Fe", "Fe", "Fe", "Fe"], "frac_coords": [[0.5043, 0.6317, 0.3311], [0.4957, 0.6317, 0.6689], [0.5043, 0.1317, 0.8311], [0.4957, 0.1317, 0.1689], [0.0083, 0.4559, 0.3329], [0.9917, 0.4559, 0.6671], [0.0083, 0.9559, 0.8329], [0.9917, 0.9559, 0.1671], [0.0000, 0.4611, 0.0000], [0.0000, 0.9611, 0.5000], [0.5000, 0.1267, 0.5000], [0.5000, 0.6267, 0.0000]]}

***

[2]
{"formula": "PmDy2Er3Bi6", "functional": "PBE", "state": "optimized geometry", "total_magnetization_mub_per_fu": 0.00, "spacegroup": "C2/m, No. 12", "ef_ev_per_atom": -0.85, "lattice_angstrom": [[-3.8642, -2.2629, 0.0816], [2.3110, -3.6637, 7.8399], [-2.7727, 9.2608, 2.6019]], "species": ["Pm", "Dy", "Dy", "Er", "Er", "Er", "Bi", "Bi", "Bi", "Bi", "Bi", "Bi"], "frac_coords": [[0.5000, 0.0000, 0.0000], [0.8328, 0.6665, 0.6657], [0.1672, 0.3335, 0.3343], [0.5000, 0.5000, 0.0000], [0.8343, 0.1675, 0.6687], [0.1657, 0.8325, 0.3313], [0.3308, 0.9169, 0.6616], [0.6661, 0.5843, 0.3322], [0.6692, 0.0831, 0.3384], [0.0001, 0.2563, 0.0002], [0.9999, 0.7437, 0.9998], [0.3339, 0.4157, 0.6678]]}